# BeCoP2Cl (PBE-GGA, optimized geometry)
data_BeCoP2Cl
_chemical_formula_sum 'Be1 Co1 P2 Cl1'
_symmetry_space_group_name_H-M 'P 1'
_symmetry_Int_Tables_number 1
_cell_length_a 4.232
_cell_length_b 4.232
_cell_length_c 5.044
_cell_angle_alpha 90.00
_cell_angle_beta 90.00
_cell_angle_gamma 90.00
loop_
_symmetry_equiv_pos_as_xyz
'x,y,z'
loop_
_atom_site_label
_atom_site_type_symbol
_atom_site_fract_x
_atom_site_fract_y
_atom_site_fract_z
Be1 Be 0.000 0.000 0.000
Co1 Co 0.500 0.500 0.500
P1 P 0.000 0.500 0.500
P2 P 0.500 0.000 0.500
Cl1 Cl 0.500 0.500 0.000
# Offset from the most stable computed form in meV per atom: 0
# Energy relative to the elements, uncorrected in eV per atom: 0.7368

---

# YIn2Rh (PBE-GGA, optimized geometry)
data_YIn2Rh
_chemical_formula_sum 'Y1 In2 Rh1'
_symmetry_space_group_name_H-M 'P 1'
_symmetry_Int_Tables_number 1
_cell_length_a 4.172
_cell_length_b 3.613
_cell_length_c 6.631
_cell_angle_alpha 90.00
_cell_angle_beta 107.96
_cell_angle_gamma 90.00
loop_
_symmetry_equiv_pos_as_xyz
'x,y,z'
loop_
_atom_site_label
_atom_site_type_symbol
_atom_site_fract_x
_atom_site_fract_y
_atom_site_fract_z
Y1 Y 0.000 0.000 0.000
In1 In 0.339 0.500 0.676
In2 In 0.725 0.000 0.444
Rh1 Rh 0.553 0.500 0.110
# ΔH_f (0 K) in eV per atom: -0.44

---

# MoRhS2 (PBE-GGA, optimized geometry)
data_MoRhS2
_chemical_formula_sum 'Mo1 Rh1 S2'
_symmetry_space_group_name_H-M 'P 1'
_symmetry_Int_Tables_number 1
_cell_length_a 7.974
_cell_length_b 7.974
_cell_length_c 7.974
_cell_angle_alpha 22.32
_cell_angle_beta 22.32
_cell_angle_gamma 22.32
loop_
_symmetry_equiv_pos_as_xyz
'x,y,z'
loop_
_atom_site_label
_atom_site_type_symbol
_atom_site_fract_x
_atom_site_fract_y
_atom_site_fract_z
Mo1 Mo 0.000 0.000 0.000
Rh1 Rh 0.500 0.500 0.500
S1 S 0.404 0.404 0.404
S2 S 0.596 0.596 0.596
# Offset from the most stable computed form in meV per atom: 0
# Energy relative to the elements, uncorrected in eV per atom: -0.3621

---

Number 1: theoretical density 3.04 Mg/m³, M_tot 0.6 μB/f.u.. Number 2: theoretical density 7.36 Mg/m³, M_tot 0.0 μB/f.u.. Number 3: theoretical density 6.81 Mg/m³, M_tot 0.0 μB/f.u..